An optimized crystal structure of CaZnFe, computed with PBE-GGA.

Geometry as POSCAR:
```
CaZnFe
1.0
3.343 0.000 0.000
0.000 3.343 0.000
0.000 0.000 10.482
Ca Zn Fe
2 2 2
direct
0.000 0.000 0.000 Ca
0.500 0.500 0.500 Ca
0.000 0.000 0.711 Zn
0.500 0.500 0.211 Zn
0.000 0.000 0.299 Fe
0.500 0.500 0.799 Fe
```

## Properties
Uncorrected energy (eV/atom): -3.6908
DFT formation energy (eV/f.u.): 0.67